[1]
4
Lattice="2.255 1.302 8.219 -2.255 1.302 8.219 0.000 -2.604 8.219" Properties=species:S:1:pos:R:3 comment="PaTlBi2 (PBE-GGA, optimized geometry)" dft_energy_ev_per_cell=-19.6 e_form_ev_per_atom=-0.0026 polymorph_energy_mev_per_atom=111 pbc="T T T"
Pa 0.000 0.000 0.000
Tl 0.000 0.000 12.329
Bi 0.000 0.000 6.459
Bi 0.000 0.000 18.199

[2]
5
Lattice="3.676 0.000 0.000 0.000 3.676 0.000 0.000 0.000 3.676" Properties=species:S:1:pos:R:3 comment="SnMoH3 (PBE-GGA, optimized geometry)" dft_energy_ev_per_cell=-23.1 polymorph_energy_mev_per_atom=0 pbc="T T T"
Sn 0.000 0.000 0.000
Mo 1.838 1.838 1.838
H 0.000 1.838 1.838
H 1.838 0.000 1.838
H 1.838 1.838 0.000

[3]
18
Lattice="-4.441 4.555 4.896 4.441 -4.555 4.896 4.441 4.555 -4.896" Properties=species:S:1:pos:R:3 comment="Sc6BiRh2 (PBE-GGA, optimized geometry)" dft_energy_ev_per_cell=-124.1 e_form_ev_per_atom=-0.6095 pbc="T T T"
Sc 4.441 2.605 -2.582
Sc 2.606 1.686 0.000
Sc 6.275 1.686 0.000
Sc 1.742 4.555 -1.675
Sc 2.698 0.000 3.221
Sc 0.000 1.950 2.314
Sc 4.441 2.605 2.582
Sc 1.742 4.555 1.675
Sc 2.698 0.000 6.571
Sc -1.834 2.869 4.896
Sc 1.834 2.869 4.896
Sc 0.000 1.950 7.479
Bi 0.000 0.000 0.000
Bi 0.000 0.000 4.896
Rh 4.441 0.000 1.354
Rh 0.000 3.097 0.000
Rh 0.000 6.012 0.000
Rh 0.000 4.555 3.542

[4]
4
Lattice="-2.051 2.051 4.413 2.051 -2.051 4.413 2.051 2.051 -4.413" Properties=species:S:1:pos:R:3 comment="CaZnSi2 (PBE-GGA, optimized geometry)" dft_energy_ev_per_cell=-13.9 e_form_raw_mev_per_atom=53 pbc="T T T"
Ca 0.000 0.000 0.000
Zn 0.000 2.051 2.207
Si 2.051 0.000 2.207
Si 0.000 0.000 4.413

[5]
6
Lattice="2.962 0.000 0.000 -1.481 2.565 0.000 0.000 0.000 12.895" Properties=species:S:1:pos:R:3 comment="AlAgPd (PBE-GGA, optimized geometry)" dft_energy_ev_per_cell=-25.5 e_form_ev_per_atom=-0.3212 polymorph_energy_mev_per_atom=136 pbc="T T T"
Al 0.000 0.000 2.261
Al 0.000 0.000 10.635
Ag 0.000 0.000 6.448
Ag 0.000 1.710 0.000
Pd 0.000 1.710 4.095
Pd 0.000 1.710 8.800

[6]
10
Lattice="4.193 0.000 0.000 0.000 4.193 0.000 0.000 0.000 11.724" Properties=species:S:1:pos:R:3 comment="Ce2TmGa4Pt3 (PBE-GGA, optimized geometry)" dft_energy_ev_per_cell=-55.2 e_form_ev_per_atom=-0.8649 pbc="T T T"
Ce 0.000 2.096 2.659
Ce 2.096 0.000 9.065
Tm 0.000 0.000 5.862
Ga 0.000 0.000 0.000
Ga 0.000 2.096 7.759
Ga 2.096 0.000 3.965
Ga 2.096 2.096 0.000
Pt 0.000 2.096 10.227
Pt 2.096 0.000 1.496
Pt 2.096 2.096 5.862

[7]
5
Lattice="5.269 0.000 0.000 0.000 5.269 0.000 0.000 0.000 4.360" Properties=species:S:1:pos:R:3 comment="La2ZrScO (PBE-GGA, optimized geometry)" dft_energy_ev_per_cell=-35.1 polymorph_energy_mev_per_atom=37 e_form_raw_mev_per_atom=-1082 pbc="T T T"
La 0.000 2.634 0.000
La 2.634 0.000 0.000
Zr 0.000 0.000 2.180
Sc 2.634 2.634 2.180
O 0.000 0.000 0.000